The following is a GGA-PBE calculation of an optimized crystal structure of VReP2, from the Alexandria database.

For the density of states at the Fermi level, the calculation gives 10.56 states/eV per cell. Its energy above the most stable polymorph in this dataset is 455 meV/atom. Its formation enthalpy at 0 K is 0.154 eV/atom. The electronic total energy is -7.94 eV per atom.

Cell: 4.9097 4.9097 7.0750 Å, 69.70 69.70 90.00°
Element x y z (fractional)
Re: 0.0000 0.0000 0.0000
Re: 0.7500 0.2500 0.5000
V: 0.5000 0.5000 0.0000
V: 0.2500 0.7500 0.5000
P: 0.6385 0.1250 0.2500
P: 0.1115 0.6250 0.2500
P: 0.3750 0.3615 0.7500
P: 0.8750 0.8885 0.7500